First-principles (PBE-GGA) data for a geometry-optimized Al2CdRh2 structure, as listed in the Alexandria database.

a b c (Å): 7.2807 7.2807 2.9392
angles (deg): 90.00 90.00 90.00
Atoms (fractional coordinates):
Al  0.1446  0.3554  0.0000
Al  0.3554  0.8554  0.0000
Al  0.6446  0.1446  0.0000
Al  0.8554  0.6446  0.0000
Cd  0.0000  0.0000  0.5000
Cd  0.5000  0.5000  0.5000
Rh  0.1489  0.6489  0.5000
Rh  0.3511  0.1489  0.5000
Rh  0.6489  0.8511  0.5000
Rh  0.8511  0.3511  0.5000

Summary:
offset from the most stable computed form = 0.0020 eV/atom
SG = No. 127
calculated formation energy = -0.70 eV/atom
VASP energy = -0.19550 hartree per atom
mass density = 7.93 g cm⁻³
M_tot = 0.00 μB/f.u.
N(E_F) = 3.4 states/eV per cell